Record 1
Fe2PSCl, relaxed, DFT PBEsol; DOS at the Fermi energy = 5.1 states/eV/f.u.
1.0
4.105 0.000 0.000
0.000 4.105 0.000
0.000 0.000 4.916
Fe P S Cl
2 1 1 1
direct
0.000 0.500 0.000
0.500 0.000 0.000
0.000 0.000 0.500
0.500 0.500 0.500
0.000 0.000 0.000

Record 2
InPt2Br, relaxed, DFT PBEsol; DOS at the Fermi energy = 0.4 states/eV/f.u.
1.0
3.352 0.000 0.000
0.000 3.352 0.000
0.000 0.000 6.578
In Pt Br
1 2 1
direct
0.000 0.000 0.000
0.500 0.500 0.212
0.500 0.500 0.788
0.000 0.000 0.500

Record 3
Al2AgCl, relaxed, DFT PBEsol; DOS at the Fermi energy = 1.1 states/eV/f.u.
1.0
-2.107 2.107 4.208
2.107 -2.107 4.208
2.107 2.107 -4.208
Al Ag Cl
2 1 1
direct
0.250 0.750 0.500
0.750 0.250 0.500
0.000 0.000 0.000
0.500 0.500 0.000

Magnetic moment / Bohr magnetons per cell: 5.26; 0.00; 0.00
Formation energy (no corrections) / kJ/mol of formula units: 551; 29; 47